This record from Alexandria describes crystalline K2BaPb3O8 at its relaxed geometry. The functional is PBE-GGA.

Computed properties:
The total energy is -73.2 eV for the cell shown. The value obtained for the total moment is 0.00 μB per formula unit. The value obtained for the formation energy (no corrections) is -126.0 kJ per mole of atoms. As for the mass density: 6.08 Mg/m³.

Lattice parameters (Å, degrees): 6.9198 6.9198 7.5036 62.54 62.54 60.00
Element x y z (fractional)
K (0.1238, 0.1238, 0.6286)
K (0.4977, 0.4977, 0.5068)
Ba (0.8795, 0.8795, 0.3616)
Pb (0.4989, 0.0029, 0.9993)
Pb (0.0029, 0.4989, 0.9993)
Pb (0.4989, 0.4989, 0.9993)
O (0.2670, 0.2670, 0.1989)
O (0.7327, 0.7327, 0.8018)
O (0.2415, 0.2415, 0.8264)
O (0.6907, 0.2415, 0.8264)
O (0.2415, 0.6907, 0.8264)
O (0.7524, 0.3129, 0.1824)
O (0.3129, 0.7524, 0.1824)
O (0.7524, 0.7524, 0.1824)

---

This record from Alexandria describes crystalline Li2HoThAu4 at its relaxed geometry. The functional is PBE-GGA.

Computed properties:
The total energy is -34.4 eV for the cell shown. The value obtained for the total moment is 0.00 μB per formula unit. As for the mass density: 11.88 Mg/m³. For the formation energy from the elements, the calculation gives -681 meV/atom.

Lattice parameters (Å, degrees): 4.6057 4.6057 9.4972 75.97 75.97 60.00
Element x y z (fractional)
Li (0.7560, 0.7560, 0.7321)
Li (0.2440, 0.2440, 0.2679)
Ho (0.5000, 0.5000, 0.5000)
Th (0.0000, 0.0000, 0.0000)
Au (0.3908, 0.3908, 0.8277)
Au (0.8859, 0.8859, 0.3422)
Au (0.1141, 0.1141, 0.6578)
Au (0.6092, 0.6092, 0.1723)

---

This record from Alexandria describes crystalline SrCo3Au at its relaxed geometry. The functional is PBE-GGA.

Computed properties:
As for the energy above the most stable polymorph in this dataset: 1240 meV per atom. The total energy is -15.8 eV for the cell shown. The value obtained for the total moment is 3.88 μB per formula unit. As for the mass density: 7.65 Mg/m³. For the formation energy from the elements, the calculation gives 2103 meV/atom.

Lattice parameters (Å, degrees): 4.6432 4.6432 4.6432 90.00 90.00 90.00
Last column: magnetic moment on the atom in μB.
Element x y z (fractional)
Sr (0.0000, 0.0000, 0.0000)  -0.14
Au (0.5000, 0.5000, 0.5000)  0.02
Co (0.0000, 0.5000, 0.0000)  1.33
Co (0.0000, 0.0000, 0.5000)  1.19
Co (0.5000, 0.0000, 0.0000)  1.67

---

This record from Alexandria describes crystalline Rb2Cl6F at its relaxed geometry. The functional is PBE-GGA.

Computed properties:
The total energy is -23.8 eV for the cell shown. The value obtained for the total moment is 1.01 μB per formula unit. The value obtained for the formation energy (no corrections) is -95.2 kJ per mole of atoms. As for the mass density: 2.15 Mg/m³.

Lattice parameters (Å, degrees): 4.2363 8.5802 9.4667 115.30 87.52 89.94
Last column: magnetic moment on the atom in μB.
Element x y z (fractional)
Rb (0.5001, 0.7732, 0.0021)  0.00
Rb (0.4999, 0.2268, 0.9979)  0.00
Cl (0.9715, 0.5719, 0.1554)  0.32
Cl (0.0285, 0.4281, 0.8446)  0.32
Cl (0.0544, 0.8614, 0.7141)  0.04
Cl (0.8919, 0.2559, 0.5268)  0.03
Cl (0.1081, 0.7441, 0.4732)  0.03
Cl (0.9456, 0.1386, 0.2859)  0.04
F (0.0000, 0.0000, 0.0000)  0.02

---

This record from Alexandria describes crystalline NaTlCd2Cu at its relaxed geometry. The functional is PBE-GGA.

Computed properties:
As for the energy above the most stable polymorph in this dataset: 51 meV per atom. The total energy is -8.9 eV for the cell shown. The value obtained for the total moment is 0.00 μB per formula unit. As for the mass density: 6.28 Mg/m³. For the formation energy from the elements, the calculation gives 137 meV/atom.

Lattice parameters (Å, degrees): 5.0637 5.0637 5.3202 90.00 90.00 90.00
Element x y z (fractional)
Na (0.0000, 0.0000, 0.5000)
Tl (0.5000, 0.5000, 0.5000)
Cu (0.0000, 0.0000, 0.0000)
Cd (0.0000, 0.5000, 0.0000)
Cd (0.5000, 0.0000, 0.0000)

---

This record from Alexandria describes crystalline CdAs2Pd7 at its relaxed geometry. The functional is PBE-GGA.

Computed properties:
As for the energy above the most stable polymorph in this dataset: 249 meV per atom. The total energy is -47.8 eV for the cell shown. The value obtained for the total moment is 0.00 μB per formula unit. As for the mass density: 8.50 Mg/m³. For the formation energy from the elements, the calculation gives -119 meV/atom.

Lattice parameters (Å, degrees): 4.4200 7.0628 7.0628 116.76 90.00 90.00
Element x y z (fractional)
Cd (0.0000, 0.0000, 0.0000)
As (0.5000, 0.6967, 0.3033)
As (0.5000, 0.3033, 0.6967)
Pd (0.0000, 0.7729, 0.2271)
Pd (0.0000, 0.2271, 0.7729)
Pd (0.5000, 0.0661, 0.3088)
Pd (0.5000, 0.9339, 0.6912)
Pd (0.5000, 0.3088, 0.0661)
Pd (0.5000, 0.6912, 0.9339)
Pd (0.5000, 0.5000, 0.5000)

---

This record from Alexandria describes crystalline Rb2SbSe4 at its relaxed geometry. The functional is PBE-GGA.

Computed properties:
As for the energy above the most stable polymorph in this dataset: 0 meV per atom. The total energy is -48.8 eV for the cell shown. The value obtained for the total moment is 0.00 μB per formula unit. The value obtained for the formation energy (no corrections) is -60.7 kJ per mole of atoms. As for the mass density: 3.41 Mg/m³.

Lattice parameters (Å, degrees): 6.2737 7.6208 12.5383 99.03 90.00 90.00
Element x y z (fractional)
Rb (0.2500, 0.2401, 0.9160)
Rb (0.7500, 0.7599, 0.0840)
Rb (0.7500, 0.7633, 0.5470)
Rb (0.2500, 0.2367, 0.4530)
Sb (0.2500, 0.6777, 0.7624)
Sb (0.7500, 0.3223, 0.2376)
Se (0.5269, 0.4392, 0.6972)
Se (0.2500, 0.7647, 0.9602)
Se (0.7500, 0.2353, 0.0398)
Se (0.9731, 0.4392, 0.6972)
Se (0.7500, 0.0629, 0.3347)
Se (0.0269, 0.5608, 0.3028)
Se (0.4731, 0.5608, 0.3028)
Se (0.2500, 0.9371, 0.6653)

---

This record from Alexandria describes crystalline V5NiPt8 at its relaxed geometry. The functional is PBE-GGA.

Computed properties:
The total energy is -103.0 eV for the cell shown. The value obtained for the total moment is 0.01 μB per formula unit. As for the mass density: 14.48 Mg/m³. For the formation energy from the elements, the calculation gives -236 meV/atom.

Lattice parameters (Å, degrees): 6.5373 6.5373 6.5373 108.52 111.39 108.52
Element x y z (fractional)
V (0.0039, 0.2732, 0.0901)
V (0.9099, 0.9138, 0.1830)
V (0.8170, 0.7268, 0.7308)
V (0.5000, 0.0000, 0.5000)
V (0.2692, 0.0862, 0.9961)
Ni (0.2500, 0.5000, 0.7500)
Pt (0.1367, 0.6791, 0.0579)
Pt (0.9421, 0.0788, 0.6212)
Pt (0.7480, 0.2736, 0.3476)
Pt (0.6524, 0.4004, 0.9260)
Pt (0.5256, 0.5996, 0.2520)
Pt (0.5424, 0.9212, 0.8633)
Pt (0.3788, 0.3209, 0.4576)
Pt (0.0740, 0.7264, 0.4744)

---

This record from Alexandria describes crystalline CaAs2BrO at its relaxed geometry. The functional is PBE-GGA.

Computed properties:
As for the energy above the most stable polymorph in this dataset: 1379 meV per atom. The total energy is -13.9 eV for the cell shown. The value obtained for the total moment is 4.21 μB per formula unit. The value obtained for the formation energy (no corrections) is 77.7 kJ per mole of atoms. As for the mass density: 2.61 Mg/m³.

Lattice parameters (Å, degrees): 5.7095 5.7095 5.5746 90.00 90.00 90.00
Last column: magnetic moment on the atom in μB.
Element x y z (fractional)
O (0.5000, 0.5000, 0.5000)  1.39
As (0.0000, 0.5000, 0.0000)  0.51
As (0.5000, 0.0000, 0.0000)  0.51
Ca (0.0000, 0.0000, 0.0000)  0.03
Br (0.0000, 0.0000, 0.5000)  0.10

---

This record from Alexandria describes crystalline CdIn3Pd6 at its relaxed geometry. The functional is PBE-GGA.

Computed properties:
As for the energy above the most stable polymorph in this dataset: 108 meV per atom. The total energy is -87.6 eV for the cell shown. The value obtained for the total moment is 0.00 μB per formula unit. As for the mass density: 9.79 Mg/m³. For the formation energy from the elements, the calculation gives -349 meV/atom.

Lattice parameters (Å, degrees): 7.0529 7.6991 7.6991 117.28 90.00 90.00
Element x y z (fractional)
Cd (0.0189, 0.2050, 0.7950)
Cd (0.5189, 0.7950, 0.2050)
In (0.4752, 0.9111, 0.6916)
In (0.9752, 0.6916, 0.9111)
In (0.3083, 0.4617, 0.5383)
In (0.8083, 0.5383, 0.4617)
In (0.9752, 0.0889, 0.3084)
In (0.4752, 0.3084, 0.0889)
Pd (0.1059, 0.8010, 0.6474)
Pd (0.6059, 0.6474, 0.8010)
Pd (0.2955, 0.4927, 0.9071)
Pd (0.7955, 0.9071, 0.4927)
Pd (0.2825, 0.9629, 0.0371)
Pd (0.6226, 0.2626, 0.7374)
Pd (0.1226, 0.7374, 0.2626)
Pd (0.7825, 0.0371, 0.9629)
Pd (0.2955, 0.0929, 0.5073)
Pd (0.7955, 0.5073, 0.0929)
Pd (0.1059, 0.3526, 0.1990)
Pd (0.6059, 0.1990, 0.3526)